1.
VASP calculation (PBE-GGA) on a relaxed SrLa2WN4 crystal.

## Properties
Fermi-level density of states, states/eV/cell: 19.77
Energy relative to the elements, uncorrected, eV per atom: -0.92
Magnetic moment, μB/atom: 0.00
V, Å³/atom: 18.11
DFT total energy, eV/atom: -8.1419
Theoretical density, Mg/m³: 6.9
Crystal system: orthorhombic

The structure in CIF format:
```
data_SrLa2WN4
_chemical_formula_sum 'Sr4 La8 W4 N16'
_space_group_name_H-M_alt 'C m c m'
_space_group_IT_number 63
_space_group_name_Hall '-C 2c 2'
_cell_length_a 3.599
_cell_length_b 12.572
_cell_length_c 12.807
_cell_angle_alpha 90.00
_cell_angle_beta 90.00
_cell_angle_gamma 90.00
loop_
_atom_site_label
_atom_site_type_symbol
_atom_site_fract_x
_atom_site_fract_y
_atom_site_fract_z
_atom_site_occupancy
Sr1 Sr 0.000 0.094 0.250 1
La1 La 0.000 0.369 0.037 1
W1 W 0.000 0.174 0.750 1
N1 N 0.000 0.000 0.000 1
N2 N 0.000 0.264 0.632 1
N3 N 0.000 0.400 0.250 1
```

2.
VASP calculation (PBE-GGA) on a relaxed Sr2LaZnN crystal.

## Properties
Fermi-level density of states, states/eV/cell: 2.80
Energy relative to the elements, uncorrected, eV per atom: -0.46
Magnetic moment, μB/atom: 0.00
V, Å³/atom: 28.32
DFT total energy, eV/atom: -4.0361
Theoretical density, Mg/m³: 4.6
Crystal system: tetragonal

The structure in CIF format:
```
data_Sr2LaZnN
_chemical_formula_sum 'Sr2 La1 Zn1 N1'
_space_group_name_H-M_alt 'P 4/m m m'
_space_group_IT_number 123
_space_group_name_Hall '-P 4 2'
_cell_length_a 5.385
_cell_length_b 5.385
_cell_length_c 4.883
_cell_angle_alpha 90.00
_cell_angle_beta 90.00
_cell_angle_gamma 90.00
loop_
_atom_site_label
_atom_site_type_symbol
_atom_site_fract_x
_atom_site_fract_y
_atom_site_fract_z
_atom_site_occupancy
Sr1 Sr 0.000 0.500 0.000 1
La1 La 0.000 0.000 0.500 1
Zn1 Zn 0.500 0.500 0.500 1
N1 N 0.000 0.000 0.000 1
```